(1)
Material: LaTa2Br
Method: DFT, PBE-GGA
State: relaxed

Properties
- Density of states at the Fermi level: 1.17 states/eV/f.u.
- Energy above the lowest structure with this stoichiometry: 111.8 kJ per mole of atoms
- ΔE_f (raw): 1.0855 eV per atom
- Magnetization: 0.0 μB/f.u.

Unit cell a=4.9445 b=4.9445 c=4.9445 alpha=60.00 beta=60.00 gamma=60.00
Sites, in units of the cell vectors:
1 La 0.0000 0.0000 0.0000
2 Ta 0.2500 0.2500 0.2500
3 Ta 0.7500 0.7500 0.7500
4 Br 0.5000 0.5000 0.5000

(2)
Material: CeTlPt4
Method: DFT, PBE-GGA
State: relaxed

Properties
- Density of states at the Fermi level: 6.35 states/eV/f.u.
- ΔE_f: -0.74 eV/atom
- Magnetization: 0.3 μB/f.u.

Unit cell a=5.4562 b=5.4562 c=5.4562 alpha=60.00 beta=60.00 gamma=60.00
Sites, in units of the cell vectors:
1 Ce 0.0000 0.0000 0.0000
2 Tl 0.7500 0.7500 0.7500
3 Pt 0.3754 0.3754 0.3754
4 Pt 0.3754 0.3754 0.8739
5 Pt 0.3754 0.8739 0.3754
6 Pt 0.8739 0.3754 0.3754

(3)
Material: BeNbAl
Method: DFT, PBE-GGA
State: relaxed

Properties
- Density of states at the Fermi level: 0.61 states/eV/f.u.
- Energy above the lowest structure with this stoichiometry: 0.2 kJ per mole of atoms
- ΔE_f: -0.35 eV/atom
- Magnetization: 0.0 μB/f.u.

Unit cell a=4.8837 b=4.8837 c=4.8837 alpha=120.74 beta=118.31 gamma=90.84
Sites, in units of the cell vectors:
1 Be 0.5000 0.0000 0.0000
2 Be 0.5000 0.5000 0.5000
3 Nb 0.1256 0.3756 0.7500
4 Nb 0.8744 0.6244 0.2500
5 Al 0.0000 0.0000 0.0000
6 Al 0.5000 0.0000 0.5000

(4)
Material: TbPrIr
Method: DFT, PBE-GGA
State: relaxed

Properties
- Density of states at the Fermi level: 3.35 states/eV/f.u.
- Energy above the lowest structure with this stoichiometry: 0.0 kJ per mole of atoms
- ΔE_f: -0.58 eV/atom
- Magnetization: 0.0 μB/f.u.

Unit cell a=4.7262 b=7.5293 c=7.5293 alpha=119.84 beta=90.00 gamma=90.00
Sites, in units of the cell vectors:
1 Tb 0.0000 0.0000 0.0000
2 Tb 0.0000 0.4765 0.7382
3 Tb 0.0000 0.7382 0.4765
4 Pr 0.5000 0.1459 0.7373
5 Pr 0.5000 0.3297 0.3297
6 Pr 0.5000 0.7373 0.1459
7 Ir 0.0000 0.0720 0.4052
8 Ir 0.0000 0.4052 0.0720
9 Ir 0.5000 0.7378 0.7378